# Er6MgCd

A relaxed structure of Er6MgCd (PBE-GGA, the Alexandria database).

```
data_Er6MgCd
_symmetry_space_group_name_H-M 'P -1'
_symmetry_Int_Tables_number 2
_cell_length_a 6.118
_cell_length_b 6.120
_cell_length_c 6.123
_cell_angle_alpha 91.72
_cell_angle_beta 91.62
_cell_angle_gamma 91.75
loop_
_symmetry_equiv_pos_as_xyz
'x,y,z'
'-x,-y,-z'
loop_
_atom_site_label
_atom_site_fract_x
_atom_site_fract_y
_atom_site_fract_z
_atom_site_occupancy
Er1 0.019 0.253 0.034 1
Er2 0.247 0.966 0.481 1
Er3 0.466 0.481 0.747 1
Mg1 0.500 0.000 0.000 1
Cd1 0.000 0.500 0.500 1
```

Values from the calculation:
- N(E_F): 8.628 states/eV per cell
- Energy: -3.7187 eV per atom
- Crystal system: triclinic
- Formation enthalpy at 0 K: 17 meV per atom

***

# Er6Mg5Cd

A relaxed structure of Er6Mg5Cd (PBE-GGA, the Alexandria database).

```
data_Er6Mg5Cd
_symmetry_space_group_name_H-M 'C m m m'
_symmetry_Int_Tables_number 65
_symmetry_space_group_name_Hall '-C 2 2'
_cell_length_a 5.323
_cell_length_b 15.994
_cell_length_c 7.454
_cell_angle_alpha 90.00
_cell_angle_beta 90.00
_cell_angle_gamma 90.00
loop_
_atom_site_label
_atom_site_fract_x
_atom_site_fract_y
_atom_site_fract_z
_atom_site_occupancy
Er1 0.000 0.000 0.248 1
Er2 0.000 0.334 0.250 1
Mg1 0.000 0.167 0.500 1
Mg2 0.000 0.170 0.000 1
Mg3 0.000 0.500 0.500 1
Cd1 0.000 0.500 0.000 1
```

Values from the calculation:
- N(E_F): 31.894 states/eV per cell
- Energy: -3.1308 eV per atom
- Crystal system: orthorhombic
- Formation enthalpy at 0 K: -109 meV per atom

***

# ErMgCd5

A relaxed structure of ErMgCd5 (PBE-GGA, the Alexandria database).

```
data_ErMgCd5
_symmetry_space_group_name_H-M 'P 4/m m m'
_symmetry_Int_Tables_number 123
_symmetry_space_group_name_Hall '-P 4 2'
_cell_length_a 4.461
_cell_length_b 4.461
_cell_length_c 8.829
_cell_angle_alpha 90.00
_cell_angle_beta 90.00
_cell_angle_gamma 90.00
loop_
_atom_site_label
_atom_site_fract_x
_atom_site_fract_y
_atom_site_fract_z
_atom_site_occupancy
Er1 0.000 0.000 0.000 1
Mg1 0.500 0.500 0.500 1
Cd1 0.000 0.500 0.269 1
Cd2 0.500 0.500 0.000 1
```

Values from the calculation:
- N(E_F): 3.676 states/eV per cell
- Energy: -1.5959 eV per atom
- Crystal system: tetragonal
- Formation enthalpy at 0 K: -63 meV per atom

***

# ErMg8Cd2

A relaxed structure of ErMg8Cd2 (PBE-GGA, the Alexandria database).

```
data_ErMg8Cd2
_symmetry_space_group_name_H-M 'C 1 2/m 1'
_symmetry_Int_Tables_number 12
_cell_length_a 8.158
_cell_length_b 13.607
_cell_length_c 5.295
_cell_angle_alpha 90.00
_cell_angle_beta 112.39
_cell_angle_gamma 90.00
loop_
_symmetry_equiv_pos_as_xyz
'x,y,z'
'-x,-y,-z'
'-x,y,-z'
'x,-y,z'
'x+1/2,y+1/2,z'
'-x+1/2,-y+1/2,-z'
'-x+1/2,y+1/2,-z'
'x+1/2,-y+1/2,z'
loop_
_atom_site_label
_atom_site_fract_x
_atom_site_fract_y
_atom_site_fract_z
_atom_site_occupancy
Er1 0.000 0.000 0.000 1
Mg1 0.000 0.233 0.000 1
Mg2 0.087 0.500 0.803 1
Mg3 0.201 0.114 0.624 1
Cd1 0.000 0.310 0.500 1
```

Values from the calculation:
- N(E_F): 9.430 states/eV per cell
- Energy: -1.6935 eV per atom
- Crystal system: monoclinic
- Formation enthalpy at 0 K: 47 meV per atom

***

# Er3Mg4Cd2

A relaxed structure of Er3Mg4Cd2 (PBE-GGA, the Alexandria database).

```
data_Er3Mg4Cd2
_symmetry_space_group_name_H-M 'C 1 2/m 1'
_symmetry_Int_Tables_number 12
_cell_length_a 9.238
_cell_length_b 5.223
_cell_length_c 9.356
_cell_angle_alpha 90.00
_cell_angle_beta 96.45
_cell_angle_gamma 90.00
loop_
_symmetry_equiv_pos_as_xyz
'x,y,z'
'-x,-y,-z'
'-x,y,-z'
'x,-y,z'
'x+1/2,y+1/2,z'
'-x+1/2,-y+1/2,-z'
'-x+1/2,y+1/2,-z'
'x+1/2,-y+1/2,z'
loop_
_atom_site_label
_atom_site_fract_x
_atom_site_fract_y
_atom_site_fract_z
_atom_site_occupancy
Er1 0.000 0.000 0.000 1
Er2 0.136 0.500 0.754 1
Mg1 0.045 0.000 0.350 1
Mg2 0.179 0.500 0.099 1
Cd1 0.212 0.500 0.408 1
```

Values from the calculation:
- N(E_F): 9.704 states/eV per cell
- Energy: -2.5293 eV per atom
- Crystal system: monoclinic
- Formation enthalpy at 0 K: -96 meV per atom

***

# ErMgCd4

A relaxed structure of ErMgCd4 (PBE-GGA, the Alexandria database).

```
data_ErMgCd4
_symmetry_space_group_name_H-M 'F -4 3 m'
_symmetry_Int_Tables_number 216
_symmetry_space_group_name_Hall 'F -4 2 3'
_cell_length_a 8.251
_cell_length_b 8.251
_cell_length_c 8.251
_cell_angle_alpha 90.00
_cell_angle_beta 90.00
_cell_angle_gamma 90.00
loop_
_atom_site_label
_atom_site_fract_x
_atom_site_fract_y
_atom_site_fract_z
_atom_site_occupancy
Er1 0.000 0.000 0.000 1
Mg1 0.250 0.250 0.750 1
Cd1 0.125 0.125 0.375 1
```

Values from the calculation:
- N(E_F): 19.184 states/eV per cell
- Energy: -1.7324 eV per atom
- Crystal system: cubic
- Formation enthalpy at 0 K: -96 meV per atom